The following is a PBE-GGA calculation of ReAs2 after structural relaxation, from the Alexandria database.

a b c (Å): 11.8696 3.1389 5.5655
angles (deg): 90.00 90.00 90.00
With the nearest neighbours (Å) after each atom.
Space group Pnma (No. 62)
Symmetry-distinct sites (fractional):
Re  0.1070  0.2500  0.0150 x4  6 As 2.51-2.58
As  0.0569  0.7500  0.6801 x4  3 Re 2.51-2.58, 1 As 2.64
As  0.2004  0.7500  0.3181 x4  3 Re 2.54-2.56, 1 As 2.64

Results
V, Å³/atom: 17.3
E_tot, eV per cell: -87.505
Size of the total moment, μB per formula unit: 0.00
Energy of formation from the pure elements, eV/atom: -0.04


The following is a PBE-GGA calculation of ReAs5 after structural relaxation, from the Alexandria database.

a b c (Å): 4.1645 13.7714 4.1290
angles (deg): 90.00 90.00 90.00
With the nearest neighbours (Å) after each atom.
Space group Cmmm (No. 65)
Symmetry-distinct sites (fractional):
Re  0.0000  0.0000  0.0000 x2  12 As 2.77-2.93
As  0.0000  0.1343  0.5000 x4  2 Re 2.77, 6 As 2.79-2.93
As  0.0000  0.3664  0.0000 x4  6 As 2.77-2.93, 2 Re 2.78
As  0.0000  0.5000  0.5000 x2  8 As 2.77-2.79, 4 Re 2.93

Results
V, Å³/atom: 19.7
E_tot, eV per cell: -65.505
Distance to the lowest polymorph of the same formula, meV per atom: 353.8
Size of the total moment, μB per formula unit: 0.00
Energy of formation from the pure elements, eV/atom: 0.49


The following is a PBE-GGA calculation of Re3As7 after structural relaxation, from the Alexandria database.

a b c (Å): 8.8535 8.8535 8.8535
angles (deg): 90.00 90.00 90.00
With the nearest neighbours (Å) after each atom.
Space group Im-3m (No. 229)
Symmetry-distinct sites (fractional):
Re  0.0000  0.0000  0.3404 x12  8 As 2.59-2.63, 1 Re 2.83
As  0.0000  0.2500  0.5000 x12  4 Re 2.63
As  0.1659  0.1659  0.1659 x16  1 As 2.58, 3 Re 2.59

Results
V, Å³/atom: 17.3
E_tot, eV per cell: -282.811
Size of the total moment, μB per formula unit: 0.00
Energy of formation from the pure elements, eV/atom: -0.08


The following is a PBE-GGA calculation of ReAs2 after structural relaxation, from the Alexandria database.

a b c (Å): 6.0420 6.0420 6.0420
angles (deg): 90.00 90.00 90.00
With the nearest neighbours (Å) after each atom.
Space group Fm-3m (No. 225)
Symmetry-distinct sites (fractional):
Re  0.0000  0.0000  0.0000 x4  8 As 2.62
As  0.2500  0.2500  0.2500 x8  4 Re 2.62

Results
V, Å³/atom: 18.4
E_tot, eV per cell: -83.344
Size of the total moment, μB per formula unit: 0.00
Energy of formation from the pure elements, eV/atom: 0.30


The following is a PBE-GGA calculation of Re3As2 after structural relaxation, from the Alexandria database.

a b c (Å): 4.2068 4.2068 5.2708
angles (deg): 90.00 90.00 120.00
With the nearest neighbours (Å) after each atom.
Space group P-3m1 (No. 164)
Symmetry-distinct sites (fractional):
Re  0.0000  0.0000  0.0000 x1  6 As 2.67, 6 Re 2.94
Re  0.3333  0.6667  0.3136 x2  5 As 2.49-2.76
As  0.3333  0.6667  0.7909 x2  8 Re 2.49-2.76

Results
V, Å³/atom: 16.2
E_tot, eV per cell: -43.428
Distance to the lowest polymorph of the same formula, meV per atom: 361.2
Size of the total moment, μB per formula unit: 0.00
Energy of formation from the pure elements, eV/atom: 0.64


The following is a PBE-GGA calculation of Re4As3 after structural relaxation, from the Alexandria database.

a b c (Å): 5.0248 5.0248 5.1121
angles (deg): 90.00 90.00 120.00
With the nearest neighbours (Å) after each atom.
Space group P6/mmm (No. 191)
Symmetry-distinct sites (fractional):
Re  0.0000  0.0000  0.2269 x2  1 Re 2.32
Re  0.3333  0.6667  0.0000 x2  9 Re 2.90-3.12, 6 As 2.94
As  0.0000  0.5000  0.5000 x3  4 As 2.51

Results
V, Å³/atom: 16.0
E_tot, eV per cell: -55.872
Size of the total moment, μB per formula unit: 0.00
Energy of formation from the pure elements, eV/atom: 1.12


The following is a PBE-GGA calculation of ReAs2 after structural relaxation, from the Alexandria database.

a b c (Å): 5.8175 4.2836 7.8591
angles (deg): 90.00 90.00 90.00
With the nearest neighbours (Å) after each atom.
Space group Pnma (No. 62)
Symmetry-distinct sites (fractional):
Re  0.2424  0.2500  0.1686 x4  7 As 2.56-2.77
As  0.0729  0.7500  0.3525 x4  5 Re 2.71-2.88, 4 As 2.77-2.92
As  0.1506  0.7500  0.9850 x4  4 Re 2.56-2.64, 3 As 2.77-2.78

Results
V, Å³/atom: 16.3
E_tot, eV per cell: -83.948
Size of the total moment, μB per formula unit: 0.00
Energy of formation from the pure elements, eV/atom: 0.25


The following is a PBE-GGA calculation of Re2AsRh after structural relaxation, from the Alexandria database.

a b c (Å): 3.7245 3.7245 4.3730
angles (deg): 90.00 90.00 90.00
With the nearest neighbours (Å) after each atom.
Space group P4/mmm (No. 123)
Symmetry-distinct sites (fractional):
Re  0.0000  0.5000  0.0000 x2  4 Re 2.63, 4 As 2.87, 4 Rh 2.87
As  0.0000  0.0000  0.5000 x1  4 Rh 2.63, 8 Re 2.87
Rh  0.5000  0.5000  0.5000 x1  4 As 2.63, 8 Re 2.87

Results
V, Å³/atom: 15.2
E_tot, eV per cell: -35.149
Size of the total moment, μB per formula unit: 0.00
Energy of formation from the pure elements, eV/atom: 0.44


What did the seventh record say?
The following is a PBE-GGA calculation of ReAs2 after structural relaxation, from the Alexandria database.

a b c (Å): 5.8175 4.2836 7.8591
angles (deg): 90.00 90.00 90.00
With the nearest neighbours (Å) after each atom.
Space group Pnma (No. 62)
Symmetry-distinct sites (fractional):
Re  0.2424  0.2500  0.1686 x4  7 As 2.56-2.77
As  0.0729  0.7500  0.3525 x4  5 Re 2.71-2.88, 4 As 2.77-2.92
As  0.1506  0.7500  0.9850 x4  4 Re 2.56-2.64, 3 As 2.77-2.78

Results
V, Å³/atom: 16.3
E_tot, eV per cell: -83.948
Size of the total moment, μB per formula unit: 0.00
Energy of formation from the pure elements, eV/atom: 0.25


energy of formation from the pure elements of number 1 (ReAs2)?
-0.04 eV/atom


Which formula does entry 2 have?
ReAs5